Entry from the Alexandria database: K2SrSi after structural relaxation (PBE-GGA).

For the raw formation energy, the calculation gives 5 kJ/mol of atoms. The value obtained for the final energy is -2.277 eV per atom.

Unit cell a=3.8558 b=5.1503 c=19.4466 alpha=90.00 beta=90.00 gamma=90.00
With the nearest neighbours (Å) after each atom.
Space group Immm (No. 71)
Symmetry-distinct sites (fractional):
K 0.0000 0.0000 0.1537  2 Si 3.56, 2 K 3.86, 2 Sr 3.95
Sr 0.0000 0.5000 0.0000  4 Si 3.22
Si 0.0000 0.5000 0.5000  4 Sr 3.22, 4 K 3.56